(1)
# Sr2SiTe4

An optimized crystal structure of Sr2SiTe4 (GGA-PBE, Alexandria via LeMat-Bulk).

abc: 7.571 7.628 9.008
angles: 90.00 107.41 90.00
Space group P2_1/m (No. 11)
Symmetry-distinct sites (fractional):
Sr (0.241, 0.250, 0.058) (multiplicity 2)
Sr (0.241, 0.250, 0.562) (multiplicity 2)
Si (0.229, 0.750, 0.307) (multiplicity 2)
Te (0.004, 0.004, 0.248) (multiplicity 4)
Te (0.405, 0.750, 0.108) (multiplicity 2)
Te (0.406, 0.750, 0.593) (multiplicity 2)

For the size of the total moment, the calculation gives 0.00 μB/f.u. The energy relative to the elements, uncorrected is -0.97 eV/atom. The calculation puts the raw total energy at -56.24 eV/cell. Its energy relative to the lowest polymorph listed for this composition is 0.000 eV/atom.

=====

(2)
# CaDyZn2

An optimized crystal structure of CaDyZn2 (GGA-PBE, Alexandria via LeMat-Bulk).

abc: 5.118 5.118 3.594
angles: 90.00 90.00 90.00
Space group P4/mmm (No. 123)
Symmetry-distinct sites (fractional):
Ca (0.000, 0.000, 0.000) (multiplicity 1)
Dy (0.500, 0.500, 0.000) (multiplicity 1)
Zn (0.000, 0.500, 0.500) (multiplicity 2)

The calculation puts the energy of formation at -0.299 eV per atom. For the size of the total moment, the calculation gives 0.00 μB/f.u. The calculation puts the raw total energy at -10.35 eV/cell.

=====

(3)
# Tc2BBr

An optimized crystal structure of Tc2BBr (GGA-PBE, Alexandria via LeMat-Bulk).

abc: 5.920 5.920 5.920
angles: 90.00 90.00 90.00
Space group Fm-3m (No. 225)
Symmetry-distinct sites (fractional):
Tc (0.250, 0.250, 0.250) (multiplicity 8)
B (0.000, 0.000, 0.000) (multiplicity 4)
Br (0.000, 0.000, 0.500) (multiplicity 4)

For the size of the total moment, the calculation gives 0.00 μB/f.u. The energy relative to the elements, uncorrected is 0.96 eV/atom. The calculation puts the raw total energy at -100.98 eV/cell. Its energy relative to the lowest polymorph listed for this composition is 0.099 eV/atom.